Record 1
An optimized crystal structure of Nd3Ga4Pd2, computed with PBE.

Computed properties:
- Total DFT energy (no corrections): -4.87 eV/atom
- Formation energy: -18.0 kcal/mol of atoms

a = 5.9507 Å, b = 5.9507 Å, c = 8.6795 Å
α = 110.57°, β = 110.57°, γ = 43.97°
Last column: nearest neighbours and their distance in Å.
Element x y z (fractional)
Nd1 0.0000 0.0000 0.0000  8 Ga 3.04-3.36, 4 Pd 3.10
Nd2 0.3220 0.3220 0.3540  4 Pd 3.06-3.43, 7 Ga 3.12-3.33
Nd3 0.6780 0.6780 0.6460  4 Pd 3.06-3.43, 7 Ga 3.12-3.33
Ga1 0.0217 0.0217 0.3595  2 Pd 2.62, 1 Ga 2.66
Ga2 0.2559 0.2559 0.9172  1 Pd 2.65, 2 Ga 2.68
Ga3 0.7441 0.7441 0.0828  1 Pd 2.65, 2 Ga 2.68
Ga4 0.9783 0.9783 0.6405  2 Pd 2.62, 1 Ga 2.66
Pd1 0.3997 0.3997 0.7322  3 Ga 2.62-2.65
Pd2 0.6003 0.6003 0.2678  3 Ga 2.62-2.65

Record 2
An optimized crystal structure of SbRh2Br, computed with PBE.

Computed properties:
- Total DFT energy (no corrections): -4.98 eV/atom
- E above lowest polymorph: 0.3058 eV per atom

a = 3.1159 Å, b = 4.0913 Å, c = 11.8851 Å
α = 90.00°, β = 90.00°, γ = 90.00°
Last column: nearest neighbours and their distance in Å.
Element x y z (fractional)
Sb1 0.0000 0.0000 0.0000  6 Rh 2.74-2.78
Sb2 0.5000 0.5000 0.5000  6 Rh 2.74-2.78
Rh1 0.0000 0.0000 0.5889  4 Sb 2.78, 2 Br 2.96, 2 Rh 3.06
Rh2 0.0000 0.5000 0.3103  4 Br 2.62, 2 Sb 2.74
Rh3 0.5000 0.0000 0.8103  4 Br 2.62, 2 Sb 2.74
Rh4 0.5000 0.5000 0.0889  4 Sb 2.78, 2 Br 2.96, 2 Rh 3.06
Br1 0.0000 0.5000 0.7686  4 Rh 2.62
Br2 0.5000 0.0000 0.2686  4 Rh 2.62

Record 3
An optimized crystal structure of Na2TbPu3Se6, computed with PBE.

Computed properties:
- Total DFT energy (no corrections): -7.46 eV/atom

a = 7.2530 Å, b = 7.2530 Å, c = 7.2147 Å
α = 99.62°, β = 99.62°, γ = 119.94°
Last column: nearest neighbours and their distance in Å.
Element x y z (fractional)
Na1 0.1657 0.8343 0.0000  6 Se 2.99-3.00
Na2 0.8343 0.1657 0.0000  6 Se 2.99-3.00
Tb1 0.5000 0.5000 0.0000  6 Se 2.92
Pu1 0.0000 0.0000 0.5000  6 Se 2.92-2.99
Pu2 0.3304 0.6696 0.5000  6 Se 2.92-2.97
Pu3 0.6696 0.3304 0.5000  6 Se 2.92-2.97
Se1 0.0908 0.4158 0.7473  1 Tb 2.92, 3 Pu 2.92-2.97, 2 Na 2.99-3.00
Se2 0.2606 0.2606 0.2545  1 Tb 2.92, 3 Pu 2.94-2.99, 2 Na 2.99
Se3 0.4158 0.0908 0.7473  1 Tb 2.92, 3 Pu 2.92-2.97, 2 Na 2.99-3.00
Se4 0.5842 0.9092 0.2527  1 Tb 2.92, 3 Pu 2.92-2.97, 2 Na 2.99-3.00
Se5 0.7394 0.7394 0.7455  1 Tb 2.92, 3 Pu 2.94-2.99, 2 Na 2.99
Se6 0.9092 0.5842 0.2527  1 Tb 2.92, 3 Pu 2.92-2.97, 2 Na 2.99-3.00

Record 4
An optimized crystal structure of ScZn2Ru, computed with PBE.

Computed properties:
- Total DFT energy (no corrections): -4.84 eV/atom
- Formation energy: -7.0 kcal/mol of atoms

a = 3.8070 Å, b = 3.8437 Å, c = 4.2539 Å
α = 90.00°, β = 90.00°, γ = 90.00°
Last column: nearest neighbours and their distance in Å.
Element x y z (fractional)
Sc1 0.0000 0.0000 0.0000  4 Ru 2.70, 8 Zn 2.85-2.87
Zn1 0.0000 0.5000 0.5000  4 Zn 2.70, 4 Ru 2.85, 4 Sc 2.87
Zn2 0.5000 0.0000 0.5000  4 Zn 2.70, 4 Sc 2.85, 4 Ru 2.87
Ru1 0.5000 0.5000 0.0000  4 Sc 2.70, 8 Zn 2.85-2.87

Record 5
An optimized crystal structure of ZnSb2Ru, computed with PBE.

Computed properties:
- Total DFT energy (no corrections): -4.57 eV/atom

a = 3.1527 Å, b = 4.1677 Å, c = 12.8209 Å
α = 90.00°, β = 90.00°, γ = 90.00°
Last column: nearest neighbours and their distance in Å.
Element x y z (fractional)
Zn1 0.0000 0.0000 0.0000  6 Sb 2.90-3.00, 2 Zn 3.15, 2 Ru 3.15
Zn2 0.5000 0.5000 0.5000  6 Sb 2.90-3.00, 2 Zn 3.15, 2 Ru 3.15
Sb1 0.0000 0.0000 0.6157  2 Ru 2.70, 4 Zn 3.00
Sb2 0.0000 0.5000 0.8425  4 Ru 2.71, 2 Zn 2.90
Sb3 0.5000 0.0000 0.3425  4 Ru 2.71, 2 Zn 2.90
Sb4 0.5000 0.5000 0.1157  2 Ru 2.70, 4 Zn 3.00
Ru1 0.0000 0.5000 0.2870  6 Sb 2.70-2.71
Ru2 0.5000 0.0000 0.7870  6 Sb 2.70-2.71

Record 6
An optimized crystal structure of Ac3YGe6, computed with PBE.

Computed properties:
- Total DFT energy (no corrections): -5.27 eV/atom
- Formation energy: -14.4 kcal/mol of atoms

a = 8.2073 Å, b = 8.2073 Å, c = 8.2073 Å
α = 98.32°, β = 98.32°, γ = 98.32°
Last column: nearest neighbours and their distance in Å.
Element x y z (fractional)
Ac1 0.1840 0.7500 0.3160  10 Ge 3.22-3.53
Ac2 0.2500 0.6840 0.8160  10 Ge 3.22-3.53
Ac3 0.3160 0.1840 0.7500  10 Ge 3.22-3.53
Ac4 0.6840 0.8160 0.2500  10 Ge 3.22-3.53
Ac5 0.7500 0.3160 0.1840  10 Ge 3.22-3.53
Ac6 0.8160 0.2500 0.6840  10 Ge 3.22-3.53
Y1 0.0000 0.0000 0.0000  6 Ge 3.07
Y2 0.5000 0.5000 0.5000  6 Ge 3.07
Ge1 0.0171 0.0909 0.3793  2 Ge 2.60-2.67
Ge2 0.0909 0.3793 0.0171  2 Ge 2.60-2.67
Ge3 0.1207 0.4091 0.4829  2 Ge 2.60-2.67
Ge4 0.3793 0.0171 0.0909  2 Ge 2.60-2.67
Ge5 0.4091 0.4829 0.1207  2 Ge 2.60-2.67
Ge6 0.4829 0.1207 0.4091  2 Ge 2.60-2.67
Ge7 0.5171 0.8793 0.5909  2 Ge 2.60-2.67
Ge8 0.5909 0.5171 0.8793  2 Ge 2.60-2.67
Ge9 0.6207 0.9829 0.9091  2 Ge 2.60-2.67
Ge10 0.8793 0.5909 0.5171  2 Ge 2.60-2.67
Ge11 0.9091 0.6207 0.9829  2 Ge 2.60-2.67
Ge12 0.9829 0.9091 0.6207  2 Ge 2.60-2.67